A relaxed structure of TlVTeCl2, computed with PBE. Values from VASP.

Summary:
Total energy (hartree per atom): -0.1593
Magnetization (μB per cell): 2.07
Space-group type: P4/mmm
Crystal system: tetragonal
Theoretical density (kg/m³): 5684

The structure in Quantum ESPRESSO input format:
```
&SYSTEM
  ibrav = 0, nat = 5, ntyp = 4
/
ATOMIC_SPECIES
Tl 204.38 Tl.upf
Te 127.60 Te.upf
Cl 35.45 Cl.upf
V 50.94 V.upf
CELL_PARAMETERS angstrom
-3.334 1.198 -3.393
-0.586 -4.745 -1.099
-3.988 -0.384 3.784
ATOMIC_POSITIONS angstrom
Tl -3.954 -1.965 -0.354
Te -1.994 -0.192 1.892
Cl -1.667 0.599 -1.696
Cl -0.293 -2.372 -0.549
V 0.000 0.000 0.000
```


A relaxed structure of ZrTlTe2Cl, computed with PBE. Values from VASP.

Summary:
Total energy (hartree per atom): -0.1741
Magnetization (μB per cell): 0.00
Energy relative to the lowest polymorph listed for this composition (eV/atom): 0.000
Space-group type: P2_1/m
Crystal system: monoclinic
Theoretical density (kg/m³): 5657

The structure in Quantum ESPRESSO input format:
```
&SYSTEM
  ibrav = 0, nat = 10, ntyp = 4
/
ATOMIC_SPECIES
Te 127.60 Te.upf
Tl 204.38 Tl.upf
Zr 91.22 Zr.upf
Cl 35.45 Cl.upf
CELL_PARAMETERS angstrom
4.113 0.000 0.000
0.000 9.236 0.636
0.000 -3.207 8.839
ATOMIC_POSITIONS angstrom
Te 1.028 -0.076 3.428
Te 1.028 -1.485 8.522
Te 3.085 6.106 6.047
Te 3.085 7.515 0.953
Tl 1.028 5.806 3.263
Tl 3.085 0.224 6.211
Zr 1.028 5.077 7.807
Zr 3.085 0.953 1.667
Cl 1.028 2.803 6.894
Cl 3.085 3.227 2.581
```


A relaxed structure of ZrTlTe2Cl, computed with PBE. Values from VASP.

Summary:
Total energy (hartree per atom): -0.1690
Magnetization (μB per cell): 0.00
Energy relative to the lowest polymorph listed for this composition (eV/atom): 0.139
Space-group type: P4/mmm
Crystal system: tetragonal
Theoretical density (kg/m³): 5903

The structure in Quantum ESPRESSO input format:
```
&SYSTEM
  ibrav = 0, nat = 5, ntyp = 4
/
ATOMIC_SPECIES
Zr 91.22 Zr.upf
Te 127.60 Te.upf
Cl 35.45 Cl.upf
Tl 204.38 Tl.upf
CELL_PARAMETERS angstrom
-5.128 -1.745 1.812
1.969 -0.223 5.357
-1.386 4.810 0.710
ATOMIC_POSITIONS angstrom
Zr 0.000 0.000 0.000
Te 0.984 -0.112 2.678
Te -2.564 -0.872 0.906
Cl -0.693 2.405 0.355
Tl -2.272 1.421 3.939
```


A relaxed structure of UTe2Cl5, computed with PBE. Values from VASP.

Summary:
Total energy (hartree per atom): -0.1621
Magnetization (μB per cell): 1.27
Space-group type: Imm2
Crystal system: orthorhombic
Theoretical density (kg/m³): 3117

The structure in Quantum ESPRESSO input format:
```
&SYSTEM
  ibrav = 0, nat = 8, ntyp = 3
/
ATOMIC_SPECIES
Cl 35.45 Cl.upf
Te 127.60 Te.upf
U 238.03 U.upf
CELL_PARAMETERS angstrom
4.871 0.014 2.505
2.418 8.082 1.250
-1.258 0.013 8.434
ATOMIC_POSITIONS angstrom
Cl 2.247 5.587 1.160
Cl 4.687 2.507 2.412
Cl -0.295 0.015 6.125
Cl 3.417 8.101 10.844
Cl 5.972 8.093 5.881
Te 4.094 4.058 6.647
Te 1.658 4.051 5.399
U 5.852 8.108 12.096
```


A relaxed structure of V2TeCl8, computed with PBE. Values from VASP.

Summary:
Total energy (hartree per atom): -0.1543
Magnetization (μB per cell): 2.00
Space-group type: C2/m
Crystal system: monoclinic
Theoretical density (kg/m³): 2034

The structure in Quantum ESPRESSO input format:
```
&SYSTEM
  ibrav = 0, nat = 11, ntyp = 3
/
ATOMIC_SPECIES
Te 127.60 Te.upf
Cl 35.45 Cl.upf
V 50.94 V.upf
CELL_PARAMETERS angstrom
-0.139 -3.400 6.221
-3.323 -9.831 1.962
4.755 -9.078 2.555
ATOMIC_POSITIONS angstrom
Te 0.000 0.000 0.000
Cl 0.872 -15.730 8.115
Cl 3.146 -12.958 5.391
Cl -1.455 -13.387 5.053
Cl 0.133 -5.930 5.722
Cl -1.853 -9.352 5.348
Cl 1.160 -16.379 5.016
Cl 0.421 -6.579 2.624
Cl 2.748 -8.922 5.685
V 1.128 -17.600 7.006
V 0.166 -4.710 3.732
```


A relaxed structure of TeWCl3, computed with PBE. Values from VASP.

Summary:
Total energy (hartree per atom): -0.1463
Magnetization (μB per cell): 0.00
Energy relative to the lowest polymorph listed for this composition (eV/atom): 0.798
Space-group type: Pm-3m
Crystal system: cubic
Theoretical density (kg/m³): 6140

The structure in Quantum ESPRESSO input format:
```
&SYSTEM
  ibrav = 0, nat = 5, ntyp = 3
/
ATOMIC_SPECIES
Cl 35.45 Cl.upf
W 183.84 W.upf
Te 127.60 Te.upf
CELL_PARAMETERS angstrom
-3.877 -2.528 -1.397
2.888 -3.437 -1.793
-0.056 -2.272 4.267
ATOMIC_POSITIONS angstrom
Cl 1.444 -1.719 -0.896
Cl -1.938 -1.264 -0.699
Cl -0.028 -1.136 2.133
W 0.000 0.000 0.000
Te -0.522 -4.119 0.538
```


A relaxed structure of Te2WCl, computed with PBE. Values from VASP.

Summary:
Total energy (hartree per atom): -0.1769
Magnetization (μB per cell): 0.00
Energy relative to the lowest polymorph listed for this composition (eV/atom): 0.477
Space-group type: Pm
Crystal system: monoclinic
Theoretical density (kg/m³): 7479

The structure in Quantum ESPRESSO input format:
```
&SYSTEM
  ibrav = 0, nat = 4, ntyp = 3
/
ATOMIC_SPECIES
W 183.84 W.upf
Cl 35.45 Cl.upf
Te 127.60 Te.upf
CELL_PARAMETERS angstrom
4.519 0.000 0.000
0.000 3.324 0.018
0.000 0.670 7.019
ATOMIC_POSITIONS angstrom
W 0.000 2.113 4.111
Cl 2.259 2.476 5.015
Te 0.000 3.843 6.274
Te 2.259 1.552 2.192
```


A relaxed structure of TeWCl3, computed with PBE. Values from VASP.

Summary:
Total energy (hartree per atom): -0.1756
Magnetization (μB per cell): 0.00
Energy relative to the lowest polymorph listed for this composition (eV/atom): 0.000
Space-group type: P1
Crystal system: triclinic
Theoretical density (kg/m³): 3692

The structure in Quantum ESPRESSO input format:
```
&SYSTEM
  ibrav = 0, nat = 10, ntyp = 3
/
ATOMIC_SPECIES
Cl 35.45 Cl.upf
W 183.84 W.upf
Te 127.60 Te.upf
CELL_PARAMETERS angstrom
-1.109 -4.523 2.510
8.335 -3.389 -2.426
-5.152 6.144 8.784
ATOMIC_POSITIONS angstrom
Cl -4.460 1.865 9.742
Cl 0.548 -0.656 7.410
Cl 2.586 0.633 5.058
Cl 1.712 -1.123 1.521
Cl 6.384 -3.554 -0.798
Cl -0.540 -2.501 3.618
W 3.150 2.608 6.428
W 2.665 0.630 7.526
Te -2.691 2.189 5.539
Te 4.753 -3.918 3.398
```


A relaxed structure of TeWCl, computed with PBE. Values from VASP.

Summary:
Total energy (hartree per atom): -0.1738
Magnetization (μB per cell): 3.00
Energy relative to the lowest polymorph listed for this composition (eV/atom): 1.515
Space-group type: F-43m
Crystal system: cubic
Theoretical density (kg/m³): 7259

The structure in Quantum ESPRESSO input format:
```
&SYSTEM
  ibrav = 0, nat = 3, ntyp = 3
/
ATOMIC_SPECIES
Cl 35.45 Cl.upf
W 183.84 W.upf
Te 127.60 Te.upf
CELL_PARAMETERS angstrom
4.823 0.000 0.000
2.412 4.177 0.000
2.412 1.392 3.938
ATOMIC_POSITIONS angstrom
Cl 4.823 2.785 1.969
W 0.000 0.000 0.000
Te 2.412 1.392 0.985
```


A relaxed structure of Te2WCl, computed with PBE. Values from VASP.

Summary:
Total energy (hartree per atom): -0.1694
Magnetization (μB per cell): 0.00
Energy relative to the lowest polymorph listed for this composition (eV/atom): 0.682
Space-group type: C2/m
Crystal system: monoclinic
Theoretical density (kg/m³): 8514

The structure in Quantum ESPRESSO input format:
```
&SYSTEM
  ibrav = 0, nat = 4, ntyp = 3
/
ATOMIC_SPECIES
Cl 35.45 Cl.upf
Te 127.60 Te.upf
W 183.84 W.upf
CELL_PARAMETERS angstrom
7.592 0.020 0.051
-3.995 4.178 0.019
-0.397 1.143 2.920
ATOMIC_POSITIONS angstrom
Cl 1.799 2.099 0.035
Te 0.000 0.000 0.000
Te 3.598 0.582 1.486
W -2.196 2.660 1.470
```


A relaxed structure of Te2WCl, computed with PBE. Values from VASP.

Summary:
Total energy (hartree per atom): -0.1669
Magnetization (μB per cell): 0.00
Energy relative to the lowest polymorph listed for this composition (eV/atom): 0.749
Space-group type: R-3m
Crystal system: trigonal
Theoretical density (kg/m³): 8219

The structure in Quantum ESPRESSO input format:
```
&SYSTEM
  ibrav = 0, nat = 4, ntyp = 3
/
ATOMIC_SPECIES
Te 127.60 Te.upf
W 183.84 W.upf
Cl 35.45 Cl.upf
CELL_PARAMETERS angstrom
2.488 10.130 5.757
3.517 8.196 7.900
5.353 9.053 5.600
ATOMIC_POSITIONS angstrom
Te 10.466 25.228 17.744
Te 0.893 2.151 1.513
W 0.000 0.000 0.000
Cl 5.679 13.690 9.629
```


A relaxed structure of TeW3Cl, computed with PBE. Values from VASP.

Summary:
Total energy (hartree per atom): -0.2177
Magnetization (μB per cell): 0.00
Energy relative to the lowest polymorph listed for this composition (eV/atom): 1.088
Space-group type: Pm-3m
Crystal system: cubic
Theoretical density (kg/m³): 9647

The structure in Quantum ESPRESSO input format:
```
&SYSTEM
  ibrav = 0, nat = 5, ntyp = 3
/
ATOMIC_SPECIES
W 183.84 W.upf
Te 127.60 Te.upf
Cl 35.45 Cl.upf
CELL_PARAMETERS angstrom
-3.751 -1.662 2.810
3.179 -2.835 2.567
0.744 3.733 3.201
ATOMIC_POSITIONS angstrom
W 0.372 1.866 1.600
W -1.876 -0.831 1.405
W 1.589 -1.418 1.284
Te 0.000 0.000 0.000
Cl 0.086 -0.382 4.289
```